Computed, not measured: an optimized crystal structure of Ca2Cu4Ge3Au at the GGA-PBE level of DFT.

Output
Its total DFT energy (no corrections) is -40.9 eV/cell. As for the density of states at the Fermi level: 3.1 states/eV/cell. The calculation puts the total magnetization at 0.0 μB per cell.

Cell and atoms, written as CIF:
```
data_Ca2Cu4Ge3Au
_cell_length_a 4.230
_cell_length_b 4.230
_cell_length_c 10.174
_cell_angle_alpha 90.00
_cell_angle_beta 90.00
_cell_angle_gamma 90.00
_symmetry_space_group_name_H-M 'P -4 m 2'
_symmetry_Int_Tables_number 115
loop_
_symmetry_equiv_pos_as_xyz
'x,y,z'
'y,-x,-z'
'-x,-y,z'
'-y,x,-z'
'-x,y,z'
'-y,-x,-z'
'x,-y,z'
'y,x,-z'
loop_
_atom_site_label
_atom_site_type_symbol
_atom_site_fract_x
_atom_site_fract_y
_atom_site_fract_z
_atom_site_occupancy
Ca1 Ca 0.000 0.500 0.244 1
Cu1 Cu 0.000 0.000 0.000 1
Cu2 Cu 0.000 0.500 0.642 1
Cu3 Cu 0.500 0.500 0.000 1
Ge1 Ge 0.000 0.500 0.874 1
Ge2 Ge 0.500 0.500 0.500 1
Au1 Au 0.000 0.000 0.500 1
```

=====

Computed, not measured: an optimized crystal structure of Ca2CuGeAu6 at the GGA-PBE level of DFT.

Output
Its total DFT energy (no corrections) is -36.0 eV/cell. As for the density of states at the Fermi level: 3.3 states/eV/cell. The calculation puts the total magnetization at 0.0 μB per cell.

Cell and atoms, written as CIF:
```
data_Ca2CuGeAu6
_cell_length_a 5.584
_cell_length_b 5.957
_cell_length_c 7.220
_cell_angle_alpha 76.83
_cell_angle_beta 70.68
_cell_angle_gamma 76.09
_symmetry_space_group_name_H-M 'P -1'
_symmetry_Int_Tables_number 2
loop_
_symmetry_equiv_pos_as_xyz
'x,y,z'
'-x,-y,-z'
loop_
_atom_site_label
_atom_site_type_symbol
_atom_site_fract_x
_atom_site_fract_y
_atom_site_fract_z
_atom_site_occupancy
Ca1 Ca 0.106 0.276 0.293 1
Cu1 Cu 0.000 0.000 0.000 1
Ge1 Ge 0.500 0.500 0.500 1
Au1 Au 0.244 0.759 0.257 1
Au2 Au 0.315 0.109 0.658 1
Au3 Au 0.338 0.631 0.874 1
```

=====

Computed, not measured: an optimized crystal structure of Ca2Cu3GeAu12 at the GGA-PBE level of DFT.

Output
Its total DFT energy (no corrections) is -184.7 eV/cell. As for the density of states at the Fermi level: 21.9 states/eV/cell. The calculation puts the total magnetization at 0.0 μB per cell.

Cell and atoms, written as CIF:
```
data_Ca2Cu3GeAu12
_cell_length_a 7.1177
_cell_length_b 7.1177
_cell_length_c 26.3339
_cell_angle_alpha 90.00
_cell_angle_beta 90.00
_cell_angle_gamma 120.00
_symmetry_space_group_name_H-M 'R -3 m'
_symmetry_Int_Tables_number 166
_symmetry_space_group_name_Hall '-R 3 2"'
loop_
_atom_site_label
_atom_site_type_symbol
_atom_site_fract_x
_atom_site_fract_y
_atom_site_fract_z
_atom_site_occupancy
Ca1 Ca 0.0000 0.0000 0.1492 1
Cu1 Cu 0.0000 0.5000 0.0000 1
Ge1 Ge 0.0000 0.0000 0.5000 1
Au1 Au 0.0319 0.5159 0.1016 1
Au2 Au 0.0663 0.5331 0.6203 1
```